Compound: Sr2CoAs4Pd
Source: OQMD
Functional: PBE-GGA
Structure: optimized geometry

Geometry as POSCAR:
```
Sr2CoAs4Pd
1.0
-3.363 2.178 -2.071
-5.787 -3.836 5.366
-4.641 -0.086 7.447
As Co Pd Sr
4 1 1 2
Direct
0.000 0.245 0.245 As
0.500 0.465 0.465 As
0.000 0.549 0.549 As
0.500 0.741 0.741 As
0.000 0.685 0.685 Co
0.500 0.318 0.318 Pd
0.500 0.104 0.104 Sr
0.000 0.893 0.893 Sr
```

volume: 170.0 Å³/cell
total moment: 0.001 μB per atom
final energy: -40.066 eV per formula unit
space-group type: Amm2 (38)